No. 1
The following is a PBE-GGA calculation of crystalline MoPb3W at its relaxed geometry, from Alexandria via LeMat-Bulk.

Lattice parameters (Å, degrees): 5.413 5.413 5.413 90.00 90.00 90.00
Sites, in units of the cell vectors:
Mo: 0.000 0.000 0.000
Pb: 0.000 0.500 0.500
Pb: 0.500 0.000 0.500
Pb: 0.500 0.500 0.000
W: 0.500 0.500 0.500

Results
D(E_F) = 1.0 states/eV per cell
calculated volume = 158.6 Å³/cell
space-group type = No. 221
formation energy = 7.2 eV/f.u.

***

No. 2
The following is a PBE-GGA calculation of crystalline Ac8Cd2Ir3 at its relaxed geometry, from Alexandria via LeMat-Bulk.

Lattice parameters (Å, degrees): 8.741 8.741 16.675 90.00 90.00 120.00
Sites, in units of the cell vectors:
Ac: 0.000 0.000 0.000
Ac: 0.000 0.000 0.500
Ac: 0.018 0.509 0.498
Ac: 0.161 0.321 0.800
Ac: 0.161 0.839 0.800
Ac: 0.321 0.161 0.300
Ac: 0.333 0.667 0.311
Ac: 0.491 0.509 0.498
Ac: 0.491 0.982 0.498
Ac: 0.509 0.018 0.998
Ac: 0.509 0.491 0.998
Ac: 0.667 0.333 0.811
Ac: 0.679 0.839 0.800
Ac: 0.839 0.161 0.300
Ac: 0.839 0.679 0.300
Ac: 0.982 0.491 0.998
Cd: 0.333 0.667 0.119
Cd: 0.333 0.667 0.655
Cd: 0.667 0.333 0.155
Cd: 0.667 0.333 0.619
Ir: 0.164 0.328 0.401
Ir: 0.164 0.836 0.401
Ir: 0.328 0.164 0.901
Ir: 0.672 0.836 0.401
Ir: 0.836 0.164 0.901
Ir: 0.836 0.672 0.901

Results
D(E_F) = 20.5 states/eV per cell
calculated volume = 1103.5 Å³/cell
space-group type = No. 186
formation energy = -4.8 eV/f.u.

***

No. 3
The following is a PBE-GGA calculation of crystalline In2PtPb at its relaxed geometry, from Alexandria via LeMat-Bulk.

Lattice parameters (Å, degrees): 9.900 9.900 9.900 152.39 152.39 39.45
Sites, in units of the cell vectors:
In: 0.065 0.625 0.940
In: 0.375 0.315 0.440
In: 0.685 0.125 0.060
In: 0.875 0.935 0.560
Pt: 0.000 0.000 0.000
Pt: 0.750 0.250 0.500
Pb: 0.250 0.750 0.500
Pb: 0.500 0.500 0.000

Results
D(E_F) = 3.5 states/eV per cell
calculated volume = 208.1 Å³/cell
space-group type = No. 122
formation energy = 0.0 eV/f.u.

***

No. 4
The following is a PBE-GGA calculation of crystalline MnCd2Se at its relaxed geometry, from Alexandria via LeMat-Bulk.

Lattice parameters (Å, degrees): 3.121 3.121 8.324 90.00 90.00 90.00
Sites, in units of the cell vectors:
Mn: 0.000 0.000 0.000
Cd: 0.500 0.500 0.228
Cd: 0.500 0.500 0.772
Se: 0.000 0.000 0.500

Results
raw formation energy = 0.235 eV per atom
D(E_F) = 3.1 states/eV per cell
calculated volume = 81.1 Å³/cell
space-group type = No. 123

***

No. 5
The following is a PBE-GGA calculation of crystalline LaDy3Sc6 at its relaxed geometry, from Alexandria via LeMat-Bulk.

Lattice parameters (Å, degrees): 6.554 6.554 6.554 90.46 90.46 90.46
Sites, in units of the cell vectors:
La: 0.000 0.000 0.000
Dy: 0.250 0.250 0.250
Dy: 0.500 0.500 0.500
Dy: 0.750 0.750 0.750
Sc: 0.001 0.335 0.667
Sc: 0.175 0.827 0.501
Sc: 0.335 0.667 0.001
Sc: 0.501 0.175 0.827
Sc: 0.667 0.001 0.335
Sc: 0.827 0.501 0.175

Results
D(E_F) = 22.3 states/eV per cell
calculated volume = 281.5 Å³/cell
space-group type = No. 146
formation energy = 4.1 eV/f.u.

***

No. 6
The following is a PBE-GGA calculation of crystalline BaLaErO4 at its relaxed geometry, from Alexandria via LeMat-Bulk.

Lattice parameters (Å, degrees): 7.164 7.164 6.211 90.00 90.00 129.54
Sites, in units of the cell vectors:
Ba: 0.104 0.896 0.750
Ba: 0.896 0.104 0.250
La: 0.389 0.611 0.750
La: 0.611 0.389 0.250
Er: 0.250 0.750 0.250
Er: 0.750 0.250 0.750
O: 0.000 0.500 0.000
O: 0.000 0.500 0.500
O: 0.085 0.915 0.250
O: 0.443 0.557 0.250
O: 0.500 0.000 0.000
O: 0.500 0.000 0.500
O: 0.557 0.443 0.750
O: 0.915 0.085 0.750

Results
raw formation energy = -3.096 eV per atom
D(E_F) = 0.0 states/eV per cell
calculated volume = 245.8 Å³/cell
space-group type = No. 63

***

No. 7
The following is a PBE-GGA calculation of crystalline Fe2TeS at its relaxed geometry, from Alexandria via LeMat-Bulk.

Lattice parameters (Å, degrees): 4.367 4.367 4.367 60.00 60.00 60.00
Sites, in units of the cell vectors:
Fe: 0.250 0.250 0.250
Fe: 0.750 0.750 0.750
Te: 0.000 0.000 0.000
S: 0.500 0.500 0.500

Results
raw formation energy = 0.378 eV per atom
D(E_F) = 3.7 states/eV per cell
calculated volume = 58.9 Å³/cell
space-group type = No. 225

***

No. 8
The following is a PBE-GGA calculation of crystalline KV3Ga at its relaxed geometry, from Alexandria via LeMat-Bulk.

Lattice parameters (Å, degrees): 4.285 4.285 4.285 90.00 90.00 90.00
Sites, in units of the cell vectors:
K: 0.000 0.000 0.000
V: 0.000 0.000 0.500
V: 0.000 0.500 0.000
V: 0.500 0.000 0.000
Ga: 0.500 0.500 0.500

Results
D(E_F) = 3.5 states/eV per cell
calculated volume = 78.7 Å³/cell
space-group type = No. 221
formation energy = 11.5 eV/f.u.